Here is an optimized crystal structure of TlCo2F2 from Alexandria via LeMat-Bulk. Energies are from PBE with a Hubbard U.

Summary:
offset from the most stable computed form: 0.000 eV per atom
total magnetic moment: 0.919 μB/atom
space group: I4/mmm (139)

a b c (Å): 3.8515 3.8515 5.5702
angles (deg): 69.77 69.77 90.00
With the nearest neighbours (Å) after each atom.
Element x y z (fractional)
Tl  0.0000  0.0000  0.0000  8 Co 2.98, 8 F 3.10
Co  0.3760  0.3760  0.2480  4 F 2.28, 1 Co 2.41
Co  0.6240  0.6240  0.7520  4 F 2.28, 1 Co 2.41
F  0.7500  0.2500  0.5000  4 Co 2.28
F  0.2500  0.7500  0.5000  4 Co 2.28